Record 1
Density functional theory data (SCAN) for Cr2HgP at its PBEsol-relaxed geometry. Values from VASP.

The structure in Quantum ESPRESSO input format:
```
&SYSTEM
  ibrav = 0, nat = 4, ntyp = 3
/
ATOMIC_SPECIES
Cr 52.00 Cr.upf
Hg 200.59 Hg.upf
P 30.97 P.upf
ATOMIC_POSITIONS angstrom
Cr 0.000 2.104 0.000
Cr 2.104 0.000 0.000
Hg 0.000 0.000 1.662
P 2.104 2.104 1.662
CELL_PARAMETERS angstrom
4.208 0.000 0.000
0.000 4.208 0.000
0.000 0.000 3.323
```

Results
Its space-group type is P4/mmm (123). Its energy relative to the elements is 23.3 kJ per mole of atoms. As for the energy relative to the lowest polymorph listed for this composition: 0.238 eV per atom.

Record 2
Density functional theory data (SCAN) for Cr2HgP at its PBEsol-relaxed geometry. Values from VASP.

The structure in Quantum ESPRESSO input format:
```
&SYSTEM
  ibrav = 0, nat = 4, ntyp = 3
/
ATOMIC_SPECIES
Cr 52.00 Cr.upf
Hg 200.59 Hg.upf
P 30.97 P.upf
ATOMIC_POSITIONS angstrom
Cr 0.000 0.000 1.435
Cr 0.000 0.000 5.735
Hg 0.000 2.315 0.000
P 1.718 0.000 0.000
CELL_PARAMETERS angstrom
-1.718 2.315 3.585
1.718 -2.315 3.585
1.718 2.315 -3.585
```

Results
Its space-group type is Immm (71). Its energy relative to the elements is 22.3 kJ per mole of atoms. As for the energy relative to the lowest polymorph listed for this composition: 0.227 eV per atom.

Record 3
Density functional theory data (SCAN) for CrHgPb2 at its PBEsol-relaxed geometry. Values from VASP.

The structure in Quantum ESPRESSO input format:
```
&SYSTEM
  ibrav = 0, nat = 4, ntyp = 3
/
ATOMIC_SPECIES
Cr 52.00 Cr.upf
Hg 200.59 Hg.upf
Pb 207.20 Pb.upf
ATOMIC_POSITIONS angstrom
Cr 0.000 0.000 0.000
Hg 1.677 0.000 2.231
Pb 0.000 0.000 5.145
Pb 0.000 2.640 2.877
CELL_PARAMETERS angstrom
-1.677 2.640 5.336
1.677 -2.640 5.336
1.677 2.640 -5.336
```

Results
Its space-group type is Imm2 (44). Its energy relative to the elements is 17.4 kJ per mole of atoms.

Record 4
Density functional theory data (SCAN) for Ta2CrHgPb at its PBEsol-relaxed geometry. Values from VASP.

The structure in Quantum ESPRESSO input format:
```
&SYSTEM
  ibrav = 0, nat = 5, ntyp = 4
/
ATOMIC_SPECIES
Ta 180.95 Ta.upf
Cr 52.00 Cr.upf
Hg 200.59 Hg.upf
Pb 207.20 Pb.upf
ATOMIC_POSITIONS angstrom
Ta 0.000 2.580 0.000
Ta 2.580 0.000 0.000
Cr 0.000 0.000 2.604
Hg 2.580 2.580 2.604
Pb 2.580 2.580 0.000
CELL_PARAMETERS angstrom
5.159 0.000 0.000
0.000 5.159 0.000
0.000 0.000 5.209
```

Results
Its space-group type is P4/mmm (123). Its energy relative to the elements is 214.8 kJ per mole of atoms.

Record 5
Density functional theory data (SCAN) for CrReHgPd2 at its PBEsol-relaxed geometry. Values from VASP.

The structure in Quantum ESPRESSO input format:
```
&SYSTEM
  ibrav = 0, nat = 5, ntyp = 4
/
ATOMIC_SPECIES
Cr 52.00 Cr.upf
Re 186.21 Re.upf
Hg 200.59 Hg.upf
Pd 106.42 Pd.upf
ATOMIC_POSITIONS angstrom
Cr 0.000 0.000 0.000
Re 0.000 0.000 2.175
Hg 2.275 2.275 2.175
Pd 0.000 2.275 0.000
Pd 2.275 0.000 0.000
CELL_PARAMETERS angstrom
4.550 0.000 0.000
0.000 4.550 0.000
0.000 0.000 4.349
```

Results
Its space-group type is P4/mmm (123). Its energy relative to the elements is 116.9 kJ per mole of atoms.

Record 6
Density functional theory data (SCAN) for Sc2CrHgPd at its PBEsol-relaxed geometry. Values from VASP.

The structure in Quantum ESPRESSO input format:
```
&SYSTEM
  ibrav = 0, nat = 5, ntyp = 4
/
ATOMIC_SPECIES
Sc 44.96 Sc.upf
Cr 52.00 Cr.upf
Hg 200.59 Hg.upf
Pd 106.42 Pd.upf
ATOMIC_POSITIONS angstrom
Sc 0.000 2.567 0.000
Sc 2.567 0.000 0.000
Cr 0.000 0.000 2.429
Hg 0.000 0.000 0.000
Pd 2.567 2.567 2.429
CELL_PARAMETERS angstrom
5.135 0.000 0.000
0.000 5.135 0.000
0.000 0.000 4.858
```

Results
Its space-group type is P4/mmm (123). Its energy relative to the elements is 55.1 kJ per mole of atoms.

Record 7
Density functional theory data (SCAN) for CrHg2Pt at its PBEsol-relaxed geometry. Values from VASP.

The structure in Quantum ESPRESSO input format:
```
&SYSTEM
  ibrav = 0, nat = 4, ntyp = 3
/
ATOMIC_SPECIES
Cr 52.00 Cr.upf
Hg 200.59 Hg.upf
Pt 195.08 Pt.upf
ATOMIC_POSITIONS angstrom
Cr 0.000 0.000 0.000
Hg 0.000 0.000 4.236
Hg 1.520 1.520 1.909
Pt 1.520 1.520 6.244
CELL_PARAMETERS angstrom
3.041 0.000 0.000
0.000 3.041 0.000
0.000 0.000 7.638
```

Results
Its space-group type is P4mm (99). Its energy relative to the elements is 0.4 kJ per mole of atoms. As for the energy relative to the lowest polymorph listed for this composition: 0.000 eV per atom.

Record 8
Density functional theory data (SCAN) for Cr3HgPt at its PBEsol-relaxed geometry. Values from VASP.

The structure in Quantum ESPRESSO input format:
```
&SYSTEM
  ibrav = 0, nat = 5, ntyp = 3
/
ATOMIC_SPECIES
Cr 52.00 Cr.upf
Hg 200.59 Hg.upf
Pt 195.08 Pt.upf
ATOMIC_POSITIONS angstrom
Cr 0.000 0.000 2.399
Cr 0.000 2.399 0.000
Cr 2.399 0.000 0.000
Hg 2.399 2.399 2.399
Pt 0.000 0.000 0.000
CELL_PARAMETERS angstrom
4.797 0.000 0.000
0.000 4.797 0.000
0.000 0.000 4.797
```

Results
Its space-group type is Pm-3m (221). Its energy relative to the elements is 67.4 kJ per mole of atoms.

Record 9
Density functional theory data (SCAN) for CrHg2Pt at its PBEsol-relaxed geometry. Values from VASP.

The structure in Quantum ESPRESSO input format:
```
&SYSTEM
  ibrav = 0, nat = 4, ntyp = 3
/
ATOMIC_SPECIES
Cr 52.00 Cr.upf
Hg 200.59 Hg.upf
Pt 195.08 Pt.upf
ATOMIC_POSITIONS angstrom
Cr 0.000 0.000 0.000
Hg 0.000 2.069 2.033
Hg 2.069 0.000 2.033
Pt 2.069 2.069 0.000
CELL_PARAMETERS angstrom
4.139 0.000 0.000
0.000 4.139 0.000
0.000 0.000 4.066
```

Results
Its space-group type is P4/mmm (123). Its energy relative to the elements is 4.2 kJ per mole of atoms. As for the energy relative to the lowest polymorph listed for this composition: 0.039 eV per atom.

Record 10
Density functional theory data (SCAN) for CrHgPt2 at its PBEsol-relaxed geometry. Values from VASP.

The structure in Quantum ESPRESSO input format:
```
&SYSTEM
  ibrav = 0, nat = 4, ntyp = 3
/
ATOMIC_SPECIES
Cr 52.00 Cr.upf
Hg 200.59 Hg.upf
Pt 195.08 Pt.upf
ATOMIC_POSITIONS angstrom
Cr 0.000 0.000 0.000
Hg 3.982 0.000 2.377
Pt 1.533 0.000 3.647
Pt 6.431 0.000 1.108
CELL_PARAMETERS angstrom
4.526 -1.466 0.000
4.526 1.466 0.000
-1.087 0.000 4.755
```

Results
Its space-group type is C2/m (12). Its energy relative to the elements is -6.8 kJ per mole of atoms.

Record 11
Density functional theory data (SCAN) for CrHgPt2 at its PBEsol-relaxed geometry. Values from VASP.

The structure in Quantum ESPRESSO input format:
```
&SYSTEM
  ibrav = 0, nat = 4, ntyp = 3
/
ATOMIC_SPECIES
Cr 52.00 Cr.upf
Hg 200.59 Hg.upf
Pt 195.08 Pt.upf
ATOMIC_POSITIONS angstrom
Cr 0.000 0.000 0.000
Hg 1.586 1.586 1.586
Pt 3.173 3.173 3.173
Pt 4.759 4.759 4.759
CELL_PARAMETERS angstrom
0.000 3.173 3.173
3.173 0.000 3.173
3.173 3.173 0.000
```

Results
Its space-group type is F-43m (216). Its energy relative to the elements is -0.3 kJ per mole of atoms.

Record 12
Density functional theory data (SCAN) for Cr2HgRh at its PBEsol-relaxed geometry. Values from VASP.

The structure in Quantum ESPRESSO input format:
```
&SYSTEM
  ibrav = 0, nat = 4, ntyp = 3
/
ATOMIC_SPECIES
Cr 52.00 Cr.upf
Hg 200.59 Hg.upf
Rh 102.91 Rh.upf
ATOMIC_POSITIONS angstrom
Cr 2.016 0.000 0.798
Cr 6.031 0.000 3.812
Hg -0.452 0.000 2.305
Rh 4.475 0.000 0.000
CELL_PARAMETERS angstrom
4.475 -1.410 0.000
4.475 1.410 0.000
-0.904 0.000 4.610
```

Results
Its space-group type is C2/m (12). Its energy relative to the elements is 37.8 kJ per mole of atoms.

Fermi-level density of states, record by record: 2.40 2.68 1.94 4.31 2.88 4.64 2.02 6.12 1.70 2.96 3.15 2.92 states/eV per cell